# ScCdSe2

An optimized crystal structure of ScCdSe2 (PBE-GGA, the Alexandria database).

Energy (eV/atom): -4.41
D(E_F) (states/eV per atom): 0.505
Mass density (g/cm³): 5.977
Energy relative to the elements, uncorrected (eV per atom): -0.860

```
data_ScCdSe2
_chemical_formula_sum 'Sc1 Cd1 Se2'
_space_group_name_H-M_alt 'P 1'
_space_group_IT_number 1
_cell_length_a 3.543
_cell_length_b 3.541
_cell_length_c 7.031
_cell_angle_alpha 90.00
_cell_angle_beta 96.70
_cell_angle_gamma 90.00
loop_
_space_group_symop_operation_xyz
'x,y,z'
loop_
_atom_site_label
_atom_site_fract_x
_atom_site_fract_y
_atom_site_fract_z
_atom_site_occupancy
Sc1 0.000 0.000 0.000 1
Cd1 0.000 0.000 0.500 1
Se1 0.390 0.500 0.781 1
Se2 0.610 0.500 0.219 1
```

# ScCdSe

An optimized crystal structure of ScCdSe (PBE-GGA, the Alexandria database).

Energy (eV/atom): -4.32
D(E_F) (states/eV per atom): 0.759
E above lowest polymorph (eV/atom): 0.038
Mass density (g/cm³): 5.121
Energy relative to the elements, uncorrected (eV per atom): -0.744

```
data_ScCdSe
_chemical_formula_sum 'Sc1 Cd1 Se1'
_space_group_name_H-M_alt 'P 1'
_space_group_IT_number 1
_cell_length_a 3.785
_cell_length_b 3.785
_cell_length_c 6.176
_cell_angle_alpha 90.00
_cell_angle_beta 90.00
_cell_angle_gamma 120.00
loop_
_space_group_symop_operation_xyz
'x,y,z'
loop_
_atom_site_label
_atom_site_fract_x
_atom_site_fract_y
_atom_site_fract_z
_atom_site_occupancy
Sc1 0.000 0.000 0.000 1
Cd1 0.333 0.667 0.644 1
Se1 0.667 0.333 0.233 1
```

# ScCdSe2

An optimized crystal structure of ScCdSe2 (PBE-GGA, the Alexandria database).

Energy (eV/atom): -4.58
D(E_F) (states/eV per atom): 0.343
Mass density (g/cm³): 5.694
Energy relative to the elements, uncorrected (eV per atom): -1.024

```
data_ScCdSe2
_chemical_formula_sum 'Sc1 Cd1 Se2'
_space_group_name_H-M_alt 'P 1'
_space_group_IT_number 1
_cell_length_a 3.992
_cell_length_b 6.423
_cell_length_c 6.423
_cell_angle_alpha 33.94
_cell_angle_beta 90.00
_cell_angle_gamma 90.00
loop_
_space_group_symop_operation_xyz
'x,y,z'
loop_
_atom_site_label
_atom_site_fract_x
_atom_site_fract_y
_atom_site_fract_z
_atom_site_occupancy
Sc1 0.000 0.000 0.000 1
Cd1 0.500 0.793 0.793 1
Se1 0.000 0.333 0.333 1
Se2 0.500 0.572 0.572 1
```

# ScCdSe

An optimized crystal structure of ScCdSe (PBE-GGA, the Alexandria database).

Energy (eV/atom): -3.99
D(E_F) (states/eV per atom): 1.251
E above lowest polymorph (eV/atom): 0.370
Mass density (g/cm³): 5.179
Energy relative to the elements, uncorrected (eV per atom): -0.412

```
data_ScCdSe
_chemical_formula_sum 'Sc1 Cd1 Se1'
_space_group_name_H-M_alt 'P 1'
_space_group_IT_number 1
_cell_length_a 4.750
_cell_length_b 4.750
_cell_length_c 4.750
_cell_angle_alpha 60.00
_cell_angle_beta 60.00
_cell_angle_gamma 60.00
loop_
_space_group_symop_operation_xyz
'x,y,z'
loop_
_atom_site_label
_atom_site_fract_x
_atom_site_fract_y
_atom_site_fract_z
_atom_site_occupancy
Sc1 0.000 0.000 0.000 1
Cd1 0.750 0.750 0.750 1
Se1 0.250 0.250 0.250 1
```

# ScCdSe2

An optimized crystal structure of ScCdSe2 (PBE-GGA, the Alexandria database).

Energy (eV/atom): -4.56
D(E_F) (states/eV per atom): 0.465
Mass density (g/cm³): 5.773
Energy relative to the elements, uncorrected (eV per atom): -1.003

```
data_ScCdSe2
_chemical_formula_sum 'Sc1 Cd1 Se2'
_space_group_name_H-M_alt 'P 1'
_space_group_IT_number 1
_cell_length_a 3.981
_cell_length_b 3.981
_cell_length_c 5.723
_cell_angle_alpha 90.00
_cell_angle_beta 90.00
_cell_angle_gamma 90.00
loop_
_space_group_symop_operation_xyz
'x,y,z'
loop_
_atom_site_label
_atom_site_fract_x
_atom_site_fract_y
_atom_site_fract_z
_atom_site_occupancy
Sc1 0.000 0.000 0.000 1
Cd1 0.500 0.500 0.502 1
Se1 0.000 0.000 0.501 1
Se2 0.500 0.500 0.001 1
```

# ScCdSe2

An optimized crystal structure of ScCdSe2 (PBE-GGA, the Alexandria database).

Energy (eV/atom): -4.60
D(E_F) (states/eV per atom): 0.696
Mass density (g/cm³): 5.573
Energy relative to the elements, uncorrected (eV per atom): -1.042

```
data_ScCdSe2
_chemical_formula_sum 'Sc1 Cd1 Se2'
_space_group_name_H-M_alt 'P 1'
_space_group_IT_number 1
_cell_length_a 7.537
_cell_length_b 7.537
_cell_length_c 7.537
_cell_angle_alpha 29.86
_cell_angle_beta 29.86
_cell_angle_gamma 29.86
loop_
_space_group_symop_operation_xyz
'x,y,z'
loop_
_atom_site_label
_atom_site_fract_x
_atom_site_fract_y
_atom_site_fract_z
_atom_site_occupancy
Sc1 0.000 0.000 0.000 1
Cd1 0.500 0.500 0.500 1
Se1 0.260 0.260 0.260 1
Se2 0.740 0.740 0.740 1
```